Density functional theory data (PBE-GGA) for a relaxed Ba2SrTe crystal.

Structure (POSCAR):
```
Ba2SrTe
1.0
-2.681 2.681 6.346
2.681 -2.681 6.346
2.681 2.681 -6.346
Ba Sr Te
2 1 1
direct
0.250 0.750 0.500 Ba
0.750 0.250 0.500 Ba
0.000 0.000 0.000 Sr
0.500 0.500 0.000 Te
```

## Properties
Total moment, μB per formula unit: 0.0
E_tot, eV per atom: -2.69
Energy relative to the elements, uncorrected, eV/atom: -0.52

***

Density functional theory data (PBE-GGA) for a relaxed BaSr2Te crystal.

Structure (POSCAR):
```
BaSr2Te
1.0
2.250 1.299 11.613
-2.250 1.299 11.613
0.000 -2.599 11.613
Ba Sr Te
1 2 1
direct
0.000 0.000 0.000 Ba
0.226 0.226 0.226 Sr
0.774 0.774 0.774 Sr
0.500 0.500 0.500 Te
```

## Properties
Total moment, μB per formula unit: 0.0
E_tot, eV per atom: -2.87
Energy relative to the elements, uncorrected, eV/atom: -0.77